Here is a relaxed Ge2BIrO crystal from Alexandria via LeMat-Bulk. Energies are from PBE.

Properties
As for the total energy: -5.091 eV/atom. The calculation puts the spin magnetization at 0.00 μB/cell.

POSCAR file:
```
Ge2BIrO
1.0
4.978 0.000 0.000
0.000 3.667 0.000
0.000 0.000 4.978
Ge Ir B O
2 1 1 1
direct
0.000 0.000 0.500 Ge
0.500 0.000 0.000 Ge
0.000 0.000 0.000 Ir
0.500 0.500 0.500 B
0.000 0.500 0.000 O
```



Here is a relaxed Ge2BPIr crystal from Alexandria via LeMat-Bulk. Energies are from PBE.

Properties
As for the formation energy: 1.466 eV per atom. As for the total energy: -4.571 eV/atom. The calculation puts the spin magnetization at 0.00 μB/cell.

POSCAR file:
```
Ge2BPIr
1.0
4.813 0.000 0.000
0.000 4.385 0.000
0.000 0.000 4.813
P Ge Ir B
1 2 1 1
direct
0.000 0.000 0.000 P
0.000 0.000 0.500 Ge
0.500 0.000 0.000 Ge
0.000 0.500 0.000 Ir
0.500 0.500 0.500 B
```



Here is a relaxed PmGeBIr2 crystal from Alexandria via LeMat-Bulk. Energies are from PBE.

Properties
As for the formation energy: -0.349 eV per atom. As for the total energy: -7.102 eV/atom. The calculation puts the spin magnetization at 0.00 μB/cell.

POSCAR file:
```
PmGeBIr2
1.0
5.763 0.000 0.000
0.000 5.763 0.000
-2.882 -2.882 4.985
Pm Ge B Ir
2 2 2 4
direct
0.750 0.750 0.500 Pm
0.250 0.250 0.500 Pm
0.750 0.250 0.501 Ge
0.250 0.750 0.501 Ge
0.000 0.000 0.000 B
0.500 0.500 0.000 B
0.339 0.839 0.000 Ir
0.839 0.661 0.000 Ir
0.661 0.161 0.000 Ir
0.161 0.339 0.000 Ir
```



Here is a relaxed GeBIrRu2 crystal from Alexandria via LeMat-Bulk. Energies are from PBE.

Properties
As for the formation energy: 0.063 eV per atom. As for the total energy: -7.678 eV/atom. The calculation puts the spin magnetization at 0.00 μB/cell.

POSCAR file:
```
GeBIrRu2
1.0
4.126 0.000 0.000
0.000 4.073 0.000
0.000 0.000 4.126
Ru Ge Ir B
2 1 1 1
direct
0.000 0.000 0.500 Ru
0.500 0.000 0.000 Ru
0.500 0.500 0.500 Ge
0.000 0.500 0.000 Ir
0.000 0.000 0.000 B
```



Here is a relaxed Si2GeBIr crystal from Alexandria via LeMat-Bulk. Energies are from PBE.

Properties
As for the total energy: -4.288 eV/atom. The calculation puts the spin magnetization at 0.00 μB/cell.

POSCAR file:
```
Si2GeBIr
1.0
4.697 0.000 0.000
0.000 4.618 0.000
0.000 0.000 4.697
Ge Ir Si B
1 1 2 1
direct
0.000 0.000 0.000 Ge
0.000 0.500 0.000 Ir
0.000 0.000 0.500 Si
0.500 0.000 0.000 Si
0.500 0.500 0.500 B
```



Here is a relaxed SnGe2BIr crystal from Alexandria via LeMat-Bulk. Energies are from PBE.

Properties
As for the formation energy: 0.486 eV per atom. The distance to the lowest polymorph of the same formula is 0 meV per atom. As for the total energy: -5.269 eV/atom. The calculation puts the spin magnetization at 0.00 μB/cell.

POSCAR file:
```
SnGe2BIr
1.0
-4.432 -1.234 0.051
0.518 -2.010 -3.626
1.095 -3.840 2.285
Ge Ir Sn B
2 1 1 1
direct
0.000 0.000 0.500 Ge
0.500 0.000 0.000 Ge
0.000 0.500 0.000 Ir
0.500 0.500 0.500 Sn
0.000 0.000 0.000 B
```



Here is a relaxed SnGe2BIr crystal from Alexandria via LeMat-Bulk. Energies are from PBE.

Properties
As for the formation energy: 1.829 eV per atom. The distance to the lowest polymorph of the same formula is 1342 meV per atom. As for the total energy: -3.927 eV/atom. The calculation puts the spin magnetization at 0.00 μB/cell.

POSCAR file:
```
SnGe2BIr
1.0
-3.080 2.851 -3.112
-0.225 -3.106 -2.623
-4.210 -1.811 2.507
Ge Ir Sn B
2 1 1 1
direct
0.000 0.000 0.500 Ge
0.500 0.000 0.000 Ge
0.500 0.500 0.500 Ir
0.000 0.000 0.000 Sn
0.000 0.500 0.000 B
```



Here is a relaxed Th4GeB3Ir12 crystal from Alexandria via LeMat-Bulk. Energies are from PBE.

Properties
As for the formation energy: -0.526 eV per atom. As for the total energy: -8.559 eV/atom. The calculation puts the spin magnetization at 0.00 μB/cell.

POSCAR file:
```
Th4GeB3Ir12
1.0
7.621 0.000 0.000
-2.540 7.185 0.000
-2.540 -3.593 6.222
Th Ge B Ir
4 1 3 12
direct
0.500 0.500 0.500 Th
0.000 0.000 0.500 Th
0.500 0.000 0.000 Th
0.000 0.500 0.000 Th
0.000 0.000 0.000 Ge
0.500 0.000 0.500 B
0.500 0.500 0.000 B
0.000 0.500 0.500 B
0.250 0.500 0.750 Ir
0.729 0.000 0.729 Ir
0.271 0.000 0.271 Ir
0.750 0.500 0.250 Ir
0.729 0.729 0.000 Ir
0.271 0.271 0.000 Ir
0.750 0.250 0.500 Ir
0.250 0.750 0.500 Ir
0.500 0.250 0.750 Ir
0.000 0.729 0.729 Ir
0.500 0.750 0.250 Ir
0.000 0.271 0.271 Ir
```



Here is a relaxed Th3GeB2Ir9 crystal from Alexandria via LeMat-Bulk. Energies are from PBE.

Properties
As for the formation energy: -0.593 eV per atom. As for the total energy: -8.592 eV/atom. The calculation puts the spin magnetization at 0.00 μB/cell.

POSCAR file:
```
Th3GeB2Ir9
1.0
5.850 0.000 0.000
-2.925 5.066 0.000
0.000 0.000 8.797
Th Ge B Ir
3 1 2 9
direct
0.333 0.667 0.623 Th
0.000 0.000 0.000 Th
0.667 0.333 0.377 Th
0.000 0.000 0.500 Ge
0.333 0.667 0.149 B
0.667 0.333 0.851 B
0.836 0.164 0.715 Ir
0.836 0.673 0.715 Ir
0.327 0.164 0.715 Ir
0.673 0.836 0.285 Ir
0.164 0.327 0.285 Ir
0.164 0.836 0.285 Ir
0.500 0.000 0.000 Ir
0.000 0.500 0.000 Ir
0.500 0.500 0.000 Ir
```



Here is a relaxed ZnGe2B2Ir5 crystal from Alexandria via LeMat-Bulk. Energies are from PBE.

Properties
As for the formation energy: -0.049 eV per atom. As for the total energy: -6.866 eV/atom. The calculation puts the spin magnetization at 0.00 μB/cell.

POSCAR file:
```
ZnGe2B2Ir5
1.0
-2.463 0.488 -1.586
-1.898 -9.308 0.084
-4.958 1.083 8.031
Zn Ge B Ir
2 4 4 10
direct
0.000 0.000 0.000 Zn
0.000 0.500 0.500 Zn
0.000 0.680 0.180 Ge
0.000 0.320 0.820 Ge
0.000 0.180 0.320 Ge
0.000 0.820 0.680 Ge
0.000 0.126 0.626 B
0.000 0.874 0.374 B
0.000 0.626 0.874 B
0.000 0.374 0.126 B
0.500 0.213 0.078 Ir
0.500 0.787 0.922 Ir
0.500 0.078 0.787 Ir
0.500 0.713 0.422 Ir
0.500 0.922 0.213 Ir
0.500 0.287 0.578 Ir
0.500 0.578 0.713 Ir
0.500 0.422 0.287 Ir
0.500 0.500 0.000 Ir
0.500 0.000 0.500 Ir
```



Here is a relaxed KGeB crystal from Alexandria via LeMat-Bulk. Energies are from PBE.

Properties
As for the formation energy: 0.190 eV per atom. As for the total energy: -3.941 eV/atom. The calculation puts the spin magnetization at 0.00 μB/cell.

POSCAR file:
```
KGeB
1.0
-2.210 3.268 2.824
-6.103 2.387 -7.540
-4.170 -4.788 2.277
K B Ge
4 4 4
direct
0.982 0.713 0.227 K
0.518 0.713 0.727 K
0.018 0.287 0.773 K
0.482 0.287 0.273 K
0.144 0.987 0.565 B
0.356 0.987 0.065 B
0.856 0.013 0.435 B
0.644 0.013 0.935 B
0.530 0.083 0.652 Ge
0.030 0.917 0.848 Ge
0.470 0.917 0.348 Ge
0.970 0.083 0.152 Ge
```



Here is a relaxed KGeB crystal from Alexandria via LeMat-Bulk. Energies are from PBE.

Properties
As for the formation energy: 0.170 eV per atom. As for the total energy: -3.960 eV/atom. The calculation puts the spin magnetization at 0.00 μB/cell.

POSCAR file:
```
KGeB
1.0
-1.654 3.218 -0.182
0.781 -1.809 -3.040
-9.549 -4.881 0.450
Ge B K
2 2 2
direct
0.333 0.667 0.250 Ge
0.667 0.333 0.750 Ge
0.333 0.667 0.750 B
0.667 0.333 0.250 B
0.000 0.000 0.000 K
0.000 0.000 0.500 K
```



Here is a relaxed KGeB crystal from Alexandria via LeMat-Bulk. Energies are from PBE.

Properties
As for the formation energy: 0.280 eV per atom. As for the total energy: -3.850 eV/atom. The calculation puts the spin magnetization at 0.00 μB/cell.

POSCAR file:
```
KGeB
1.0
16.944 0.000 0.020
6.259 1.591 -2.751
-6.259 1.591 2.751
Ge B K
2 2 2
direct
0.224 0.919 0.081 Ge
0.776 0.081 0.919 Ge
0.028 0.702 0.298 B
0.972 0.298 0.702 B
0.728 0.389 0.611 K
0.272 0.611 0.389 K
```



Here is a relaxed KGeB crystal from Alexandria via LeMat-Bulk. Energies are from PBE.

Properties
As for the formation energy: 0.479 eV per atom. As for the total energy: -3.651 eV/atom. The calculation puts the spin magnetization at 0.00 μB/cell.

POSCAR file:
```
KGeB
1.0
3.414 0.000 0.000
0.000 3.414 0.000
0.000 0.000 11.893
Ge B K
2 2 2
direct
0.000 0.500 0.619 Ge
0.500 0.000 0.381 Ge
0.000 0.000 0.500 B
0.500 0.500 0.500 B
0.000 0.500 0.182 K
0.500 0.000 0.818 K
```



Here is a relaxed KGeB crystal from Alexandria via LeMat-Bulk. Energies are from PBE.

Properties
As for the formation energy: 0.506 eV per atom. As for the total energy: -3.625 eV/atom. The calculation puts the spin magnetization at 0.00 μB/cell.

POSCAR file:
```
KGeB
1.0
3.697 0.000 0.000
0.000 9.632 0.000
0.000 0.000 4.154
Ge B K
2 2 2
direct
0.000 0.609 0.000 Ge
0.500 0.391 0.500 Ge
0.000 0.514 0.500 B
0.500 0.486 0.000 B
0.000 0.211 0.000 K
0.500 0.789 0.500 K
```



Here is a relaxed KGeB crystal from Alexandria via LeMat-Bulk. Energies are from PBE.

Properties
As for the formation energy: 0.222 eV per atom. As for the total energy: -3.909 eV/atom. The calculation puts the spin magnetization at 0.00 μB/cell.

POSCAR file:
```
KGeB
1.0
9.597 0.054 0.036
-0.091 3.600 -0.012
0.553 -1.769 4.574
Ge B K
2 2 2
direct
0.596 0.192 0.873 Ge
0.404 0.808 0.127 Ge
0.488 0.412 0.324 B
0.512 0.588 0.676 B
0.219 0.097 0.724 K
0.781 0.903 0.276 K
```



Here is a relaxed KGeB crystal from Alexandria via LeMat-Bulk. Energies are from PBE.

Properties
As for the formation energy: 0.273 eV per atom. As for the total energy: -3.858 eV/atom. The calculation puts the spin magnetization at 0.00 μB/cell.

POSCAR file:
```
KGeB
1.0
9.191 0.009 -0.005
0.639 3.593 0.002
-0.524 0.095 5.764
Ge B K
2 2 2
direct
0.541 0.983 0.805 Ge
0.459 0.017 0.195 Ge
0.473 0.511 0.360 B
0.527 0.489 0.640 B
0.214 0.627 0.792 K
0.786 0.373 0.208 K
```



Here is a relaxed KGeB3 crystal from Alexandria via LeMat-Bulk. Energies are from PBE.

Properties
As for the formation energy: 1.752 eV per atom. The distance to the lowest polymorph of the same formula is 0 meV per atom. As for the total energy: -3.398 eV/atom. The calculation puts the spin magnetization at 0.00 μB/cell.

POSCAR file:
```
KGeB3
1.0
4.355 0.000 0.000
0.000 4.355 0.000
0.000 0.000 4.355
Ge B K
1 3 1
direct
0.000 0.000 0.000 Ge
0.000 0.500 0.000 B
0.000 0.000 0.500 B
0.500 0.000 0.000 B
0.500 0.500 0.500 K
```



Here is a relaxed KGeB crystal from Alexandria via LeMat-Bulk. Energies are from PBE.

Properties
As for the formation energy: 0.105 eV per atom. As for the total energy: -4.026 eV/atom. The calculation puts the spin magnetization at 0.00 μB/cell.

POSCAR file:
```
KGeB
1.0
6.327 0.000 0.000
0.000 3.622 0.000
3.163 1.811 5.399
Ge B K
2 2 2
direct
0.302 0.000 0.000 Ge
0.698 0.000 0.000 Ge
0.866 0.500 0.000 B
0.134 0.500 0.000 B
0.252 0.252 0.496 K
0.748 0.748 0.504 K
```



Here is a relaxed KGeB crystal from Alexandria via LeMat-Bulk. Energies are from PBE.

Properties
As for the formation energy: 0.135 eV per atom. As for the total energy: -3.995 eV/atom. The calculation puts the spin magnetization at 0.00 μB/cell.

POSCAR file:
```
KGeB
1.0
-3.396 1.190 0.425
1.020 -1.484 -3.145
-1.470 -4.839 1.806
Ge B K
1 1 1
direct
0.333 0.667 0.500 Ge
0.000 0.000 0.500 B
0.667 0.333 0.000 K
```